Compound: V3Tc3W
Source: Alexandria
Functional: PBE
Structure: relaxed

Results
The density of states at the Fermi level is 0.701 states/eV/atom. For the calculated total energy, the calculation gives -141.8 eV per cell. For the calculated volume, the calculation gives 15.17 Å³/atom. As for the formation energy: 0.069 eV/atom.

a b c (Å): 5.973 5.973 5.963
angles (deg): 90.00 90.00 92.95
Fractional coordinates of all 14 atoms:
V (0.235, 0.765, 0.000)
V (0.252, 0.252, 0.500)
V (0.260, 0.740, 0.500)
V (0.740, 0.260, 0.500)
V (0.748, 0.748, 0.500)
V (0.765, 0.235, 0.000)
Tc (0.000, 0.000, 0.251)
Tc (0.000, 0.000, 0.749)
Tc (0.000, 0.500, 0.254)
Tc (0.000, 0.500, 0.746)
Tc (0.500, 0.000, 0.254)
Tc (0.500, 0.000, 0.746)
W (0.308, 0.308, 0.000)
W (0.692, 0.692, 0.000)

=====

Compound: V6TcW
Source: Alexandria
Functional: PBE
Structure: relaxed

Results
The density of states at the Fermi level is 1.364 states/eV/atom. For the calculated total energy, the calculation gives -78.4 eV per cell. For the calculated volume, the calculation gives 14.14 Å³/atom. As for the formation energy: -0.049 eV/atom. The energy above the most stable polymorph in this dataset comes out at 0.73 eV/f.u.

a b c (Å): 4.835 4.835 4.835
angles (deg): 90.07 90.07 90.07
Fractional coordinates of all 8 atoms:
V (0.000, 0.252, 0.500)
V (0.000, 0.748, 0.500)
V (0.252, 0.500, 0.000)
V (0.500, 0.000, 0.252)
V (0.500, 0.000, 0.748)
V (0.748, 0.500, 0.000)
Tc (0.500, 0.500, 0.500)
W (0.000, 0.000, 0.000)

=====

Compound: V6TcW2
Source: Alexandria
Functional: PBE
Structure: relaxed

Results
The density of states at the Fermi level is 1.549 states/eV/atom. For the calculated total energy, the calculation gives -84.4 eV per cell. For the calculated volume, the calculation gives 17.04 Å³/atom. As for the formation energy: 0.729 eV/atom. The energy above the most stable polymorph in this dataset comes out at 7.38 eV/f.u.

a b c (Å): 7.215 7.215 4.132
angles (deg): 106.47 106.47 48.62
Fractional coordinates of all 9 atoms:
V (0.082, 0.589, 0.336)
V (0.247, 0.753, 0.000)
V (0.411, 0.918, 0.664)
V (0.589, 0.082, 0.336)
V (0.753, 0.247, 0.000)
V (0.918, 0.411, 0.664)
Tc (0.000, 0.000, 0.500)
W (0.334, 0.334, 0.834)
W (0.666, 0.666, 0.166)

=====

Compound: V3Tc4W
Source: Alexandria
Functional: PBE
Structure: relaxed

Results
The density of states at the Fermi level is 0.509 states/eV/atom. For the calculated total energy, the calculation gives -84.0 eV per cell. For the calculated volume, the calculation gives 14.26 Å³/atom. As for the formation energy: -0.276 eV/atom.

a b c (Å): 3.052 3.052 12.253
angles (deg): 90.00 90.00 90.00
Fractional coordinates of all 8 atoms:
V (0.000, 0.000, 0.000)
V (0.000, 0.000, 0.244)
V (0.000, 0.000, 0.756)
Tc (0.500, 0.500, 0.123)
Tc (0.500, 0.500, 0.368)
Tc (0.500, 0.500, 0.632)
Tc (0.500, 0.500, 0.877)
W (0.000, 0.000, 0.500)

=====

Compound: V2TcW2
Source: Alexandria
Functional: PBE
Structure: relaxed

Results
The density of states at the Fermi level is 0.496 states/eV/atom. For the calculated total energy, the calculation gives -55.3 eV per cell. For the calculated volume, the calculation gives 14.77 Å³/atom. As for the formation energy: -0.157 eV/atom. The energy above the most stable polymorph in this dataset comes out at 0.00 eV/f.u.

a b c (Å): 6.714 6.714 2.708
angles (deg): 97.89 97.89 37.68
Fractional coordinates of all 5 atoms:
V (0.096, 0.096, 0.394)
V (0.904, 0.904, 0.606)
Tc (0.500, 0.500, 0.000)
W (0.301, 0.301, 0.201)
W (0.699, 0.699, 0.799)

=====

Compound: VTc2W
Source: Alexandria
Functional: PBE
Structure: relaxed

Results
The density of states at the Fermi level is 1.339 states/eV/atom. For the calculated total energy, the calculation gives -80.2 eV per cell. For the calculated volume, the calculation gives 15.77 Å³/atom. As for the formation energy: 0.672 eV/atom.

a b c (Å): 5.568 5.568 5.568
angles (deg): 102.62 102.62 124.26
Fractional coordinates of all 8 atoms:
V (0.000, 0.000, 0.000)
V (0.750, 0.250, 0.500)
Tc (0.116, 0.625, 0.991)
Tc (0.375, 0.366, 0.491)
Tc (0.634, 0.125, 0.009)
Tc (0.875, 0.884, 0.509)
W (0.250, 0.750, 0.500)
W (0.500, 0.500, 0.000)

=====

Compound: VZnTcW
Source: Alexandria
Functional: PBE
Structure: relaxed

Results
The density of states at the Fermi level is 0.848 states/eV/atom. For the calculated total energy, the calculation gives -33.5 eV per cell. For the calculated volume, the calculation gives 14.67 Å³/atom. As for the formation energy: 0.062 eV/atom.

a b c (Å): 4.362 4.362 4.362
angles (deg): 60.00 60.00 60.00
Fractional coordinates of all 4 atoms:
V (0.000, 0.000, 0.000)
Zn (0.750, 0.750, 0.750)
Tc (0.500, 0.500, 0.500)
W (0.250, 0.250, 0.250)

=====

Compound: ZrV2TcW
Source: Alexandria
Functional: PBE
Structure: relaxed

Results
The density of states at the Fermi level is 1.323 states/eV/atom. For the calculated total energy, the calculation gives -45.2 eV per cell. For the calculated volume, the calculation gives 19.56 Å³/atom. As for the formation energy: 0.981 eV/atom.

a b c (Å): 4.501 4.501 4.828
angles (deg): 90.00 90.00 90.00
Fractional coordinates of all 5 atoms:
Zr (0.000, 0.000, 0.000)
V (0.000, 0.500, 0.500)
V (0.500, 0.000, 0.500)
Tc (0.500, 0.500, 0.500)
W (0.500, 0.500, 0.000)

=====

Compound: YVTc2
Source: Alexandria
Functional: PBE
Structure: relaxed

Results
The density of states at the Fermi level is 0.996 states/eV/atom. For the calculated total energy, the calculation gives -67.2 eV per cell. For the calculated volume, the calculation gives 22.97 Å³/atom. As for the formation energy: 0.676 eV/atom. The energy above the most stable polymorph in this dataset comes out at 2.22 eV/f.u.

a b c (Å): 8.834 8.834 8.834
angles (deg): 148.86 148.86 44.61
Fractional coordinates of all 8 atoms:
Y (0.375, 0.625, 0.750)
Y (0.625, 0.375, 0.250)
V (0.125, 0.875, 0.250)
V (0.875, 0.125, 0.750)
Tc (0.000, 0.000, 0.000)
Tc (0.000, 0.000, 0.500)
Tc (0.000, 0.500, 0.000)
Tc (0.500, 0.000, 0.500)

=====

Compound: YV2Tc2
Source: Alexandria
Functional: PBE
Structure: relaxed

Results
The density of states at the Fermi level is 1.442 states/eV/atom. For the calculated total energy, the calculation gives -89.6 eV per cell. For the calculated volume, the calculation gives 16.67 Å³/atom. As for the formation energy: 0.122 eV/atom. The energy above the most stable polymorph in this dataset comes out at 0.78 eV/f.u.

a b c (Å): 7.580 7.580 2.901
angles (deg): 90.00 90.00 90.00
Fractional coordinates of all 10 atoms:
Y (0.000, 0.000, 0.000)
Y (0.500, 0.500, 0.000)
V (0.137, 0.363, 0.000)
V (0.363, 0.863, 0.000)
V (0.637, 0.137, 0.000)
V (0.863, 0.637, 0.000)
Tc (0.148, 0.648, 0.500)
Tc (0.352, 0.148, 0.500)
Tc (0.648, 0.852, 0.500)
Tc (0.852, 0.352, 0.500)

=====

Compound: YVTc2
Source: Alexandria
Functional: PBE
Structure: relaxed

Results
The density of states at the Fermi level is 1.256 states/eV/atom. For the calculated total energy, the calculation gives -35.8 eV per cell. For the calculated volume, the calculation gives 16.62 Å³/atom. As for the formation energy: 0.120 eV/atom. The energy above the most stable polymorph in this dataset comes out at 0.00 eV/f.u.

a b c (Å): 4.547 4.547 4.547
angles (deg): 60.00 60.00 60.00
Fractional coordinates of all 4 atoms:
Y (0.000, 0.000, 0.000)
V (0.500, 0.500, 0.500)
Tc (0.250, 0.250, 0.250)
Tc (0.750, 0.750, 0.750)

=====

Compound: Y2VTc
Source: Alexandria
Functional: PBE
Structure: relaxed

Results
The density of states at the Fermi level is 1.366 states/eV/atom. For the calculated total energy, the calculation gives -58.8 eV per cell. For the calculated volume, the calculation gives 22.76 Å³/atom. As for the formation energy: 0.759 eV/atom. The energy above the most stable polymorph in this dataset comes out at 1.92 eV/f.u.

a b c (Å): 6.267 6.267 6.267
angles (deg): 103.41 103.41 122.42
Fractional coordinates of all 8 atoms:
Y (0.109, 0.625, 0.984)
Y (0.375, 0.359, 0.484)
Y (0.641, 0.125, 0.016)
Y (0.875, 0.891, 0.516)
V (0.250, 0.750, 0.500)
V (0.500, 0.500, 0.000)
Tc (0.000, 0.000, 0.000)
Tc (0.750, 0.250, 0.500)